(1)
PBE YFe2Si, relaxed; space group = P4/mmm, No. 123; ΔE_f (raw) = 0.0655 eV/atom
1.0
-1.592 1.603 3.518
0.115 -3.783 1.776
3.053 0.611 1.103
Fe Si Y
2 1 1
Direct
0.500 0.500 0.000
0.000 0.000 0.000
0.500 0.000 0.500
0.000 0.500 0.500


(2)
PBE TlHg5Pb7, relaxed; E_form = 35 meV per atom; space group = Cm, No. 8
1.0
5.540 0.045 1.837
2.847 8.209 0.894
0.317 -0.080 8.728
Hg Pb Tl
5 7 1
Direct
0.958 0.446 0.996
0.399 0.987 0.579
0.958 0.996 0.446
0.746 0.812 0.812
0.399 0.579 0.987
0.343 0.203 0.203
0.678 0.348 0.348
0.537 0.216 0.788
0.357 0.634 0.634
0.023 0.637 0.356
0.537 0.788 0.216
0.023 0.356 0.637
0.042 0.000 0.000


(3)
PBE HoEr3Pt12, relaxed; E_form = -1065 meV per atom; space group = P4/mmm, No. 123
1.0
4.109 0.000 0.000
0.000 4.109 0.000
0.000 0.000 16.368
Er Ho Pt
3 1 12
Direct
0.000 0.000 0.250
0.000 0.000 0.500
0.000 0.000 0.750
0.000 0.000 0.000
0.500 0.000 0.874
0.500 0.500 0.750
0.500 0.500 0.000
0.000 0.500 0.625
0.500 0.000 0.126
0.000 0.500 0.874
0.500 0.500 0.500
0.000 0.500 0.375
0.500 0.000 0.625
0.500 0.500 0.250
0.000 0.500 0.126
0.500 0.000 0.375


(4)
PBE SrSi2Ni, relaxed; space group = P4/mmm, No. 123; ΔE_f (raw) = 0.2328 eV/atom
1.0
4.420 0.000 0.000
0.000 4.071 0.000
0.000 0.000 4.071
Ni Sr Si
1 1 2
Direct
0.500 0.000 0.500
0.500 0.500 0.000
0.000 0.000 0.000
0.000 0.500 0.500


| no. | N(E_F) (states/eV/cell) | spin magnetization (μB per atom) | calculated density (g/cm³) |
| --- | --- | --- | --- |
| 1 | 6.01 | 0.317 | 6.6 |
| 2 | 5.70 | 0.000 | 11.3 |
| 3 | 14.95 | 0.000 | 18.1 |
| 4 | 2.22 | 0.000 | 4.6 |